1.
Material: UAg2S5
Method: DFT, PBE
State: relaxed

Computed properties:
Its total energy is -40.55 eV per cell. The calculation puts the uncorrected formation energy at -0.37 eV per atom. The volume comes out at 221.8 Å³/cell.

abc: 6.8459 6.9378 6.7163
angles: 101.70 123.52 108.41
Atoms (fractional coordinates):
U  0.0050  0.0281  0.0658
Ag  0.3790  0.6644  0.4204
Ag  0.5153  0.0162  0.0963
S  0.9018  0.3300  0.1840
S  0.4719  0.3310  0.2824
S  0.5521  0.7103  0.8868
S  0.1169  0.7149  0.0021
S  0.8351  0.9821  0.6162

***

2.
Material: Mg14SnBi
Method: DFT, PBE
State: relaxed

Computed properties:
Its total energy is -30.77 eV per cell. The volume comes out at 375.3 Å³/cell. The offset from the most stable computed form comes out at 0 meV per atom.

abc: 6.5305 6.5305 10.1614
angles: 90.00 90.00 120.00
Atoms (fractional coordinates):
Mg  0.9949  0.4975  0.0000
Mg  0.9996  0.4998  0.5000
Mg  0.5025  0.0051  0.0000
Mg  0.5002  0.0004  0.5000
Mg  0.5025  0.4975  0.0000
Mg  0.5002  0.4998  0.5000
Mg  0.1721  0.8279  0.2451
Mg  0.1721  0.8279  0.7549
Mg  0.1721  0.3443  0.2451
Mg  0.1721  0.3443  0.7549
Mg  0.6557  0.8279  0.2451
Mg  0.6557  0.8279  0.7549
Mg  0.6667  0.3333  0.2513
Mg  0.6667  0.3333  0.7487
Sn  0.0000  0.0000  0.0000
Bi  0.0000  0.0000  0.5000

***

3.
Material: InSn3Rh
Method: DFT, PBE
State: relaxed

Computed properties:
Its total energy is -46.26 eV per cell. The volume comes out at 241.8 Å³/cell. The offset from the most stable computed form comes out at 0 meV per atom.

abc: 6.8540 6.8540 6.9248
angles: 102.92 122.45 103.42
Atoms (fractional coordinates):
In  0.7154  0.0532  0.7686
In  0.2846  0.9468  0.2314
Sn  0.8343  0.0389  0.2601
Sn  0.2212  0.4258  0.2601
Sn  0.7788  0.5742  0.7399
Sn  0.7266  0.4379  0.1645
Sn  0.1657  0.9611  0.7399
Sn  0.2734  0.5621  0.8355
Rh  0.6301  0.7433  0.3734
Rh  0.3699  0.2567  0.6266

***

4.
Material: Ta5Pt3
Method: DFT, PBE
State: relaxed

Computed properties:
Its total energy is -161.92 eV per cell. The volume comes out at 279.2 Å³/cell. The offset from the most stable computed form comes out at 21 meV per atom.

abc: 5.1719 7.8027 7.8025
angles: 96.52 109.67 70.32
Atoms (fractional coordinates):
Pt  0.1727  0.1694  0.5001
Pt  0.2505  0.0009  0.0014
Pt  0.3283  0.4997  0.1699
Pt  0.6725  0.5003  0.8309
Pt  0.7504  0.9991  0.9995
Pt  0.8281  0.8306  0.5007
Ta  0.0791  0.7010  0.8585
Ta  0.2171  0.8577  0.2992
Ta  0.2504  0.5056  0.5059
Ta  0.2837  0.2988  0.8581
Ta  0.4217  0.8581  0.7015
Ta  0.5791  0.1420  0.2994
Ta  0.7171  0.7012  0.1427
Ta  0.7505  0.4944  0.4949
Ta  0.7837  0.1423  0.7016
Ta  0.9217  0.2990  0.1423

***

5.
Material: Hg4Pd8S
Method: DFT, PBE
State: relaxed

Computed properties:
Its total energy is -48.53 eV per cell. The calculation puts the uncorrected formation energy at -0.13 eV per atom. The volume comes out at 231.2 Å³/cell.

abc: 4.1185 3.9337 14.2705
angles: 90.00 90.00 90.00
Atoms (fractional coordinates):
Hg  0.0000  0.0000  0.0587
Hg  0.0000  0.5000  0.6173
Hg  0.5000  0.5000  0.4549
Hg  0.5000  0.0000  0.9008
Pd  0.0000  0.0000  0.4634
Pd  0.0000  0.5000  0.9047
Pd  0.5000  0.5000  0.0539
Pd  0.5000  0.0000  0.6139
Pd  0.0000  0.5000  0.2039
Pd  0.0000  0.0000  0.7578
Pd  0.5000  0.0000  0.2144
Pd  0.5000  0.5000  0.7602
S  0.0000  0.0000  0.2990

***

6.
Material: AcPu2P4Au
Method: DFT, PBE
State: relaxed

Computed properties:
Its total energy is -130.12 eV per cell. The volume comes out at 373.6 Å³/cell.

abc: 4.1092 7.0148 13.5538
angles: 90.00 90.00 107.03
Atoms (fractional coordinates):
Ac  0.1157  0.2314  0.7500
Ac  0.8843  0.7686  0.2500
Pu  0.3709  0.7419  0.5589
Pu  0.6291  0.2581  0.0589
Pu  0.6291  0.2581  0.4411
Pu  0.3709  0.7419  0.9411
P  0.2652  0.5304  0.1087
P  0.7348  0.4696  0.6087
P  0.7348  0.4696  0.8913
P  0.2652  0.5304  0.3913
P  0.0000  0.0000  0.5000
P  0.0000  0.0000  0.0000
P  0.4496  0.8992  0.7500
P  0.5504  0.1008  0.2500
Au  0.8487  0.6974  0.7500
Au  0.1513  0.3026  0.2500